Below is a relaxed structure of Ho2Co15Ni2, with properties calculated at the GGA-PBE level.

Cell: 6.253 6.253 6.253 Å, 83.25 83.25 83.25°
Sites, in units of the cell vectors:
1 Ho 0.342 0.342 0.342
2 Ho 0.658 0.658 0.658
3 Co 0.500 0.000 0.000
4 Co 0.000 0.000 0.500
5 Co 0.000 0.500 0.000
6 Co 0.000 0.713 0.287
7 Co 0.713 0.287 0.000
8 Co 0.287 0.000 0.713
9 Co 0.287 0.713 0.000
10 Co 0.713 0.000 0.287
11 Co 0.000 0.287 0.713
12 Co 0.153 0.653 0.653
13 Co 0.653 0.653 0.153
14 Co 0.653 0.153 0.653
15 Co 0.847 0.347 0.347
16 Co 0.347 0.347 0.847
17 Co 0.347 0.847 0.347
18 Ni 0.102 0.102 0.102
19 Ni 0.898 0.898 0.898

Output
Total magnetic moment   23.084 μB/f.u.
Formation enthalpy at 0 K   -106.2 meV/atom